(1)
Computed, not measured: a crystal of MnTeAs2 relaxed with PBEsol at the meta-GGA SCAN level of DFT.

Unit cell a=3.3785 b=4.5616 c=5.0154 alpha=90.00 beta=90.00 gamma=90.00
Sites, in units of the cell vectors:
Mn: 0.0000 0.0000 0.0000
Te: 0.5000 0.5000 0.0000
As: 0.0000 0.5000 0.5000
As: 0.5000 0.0000 0.5000

The calculation puts the total moment at 4.23 Bohr magnetons per cell. The space group is Pmmm (47). As for the formation energy without anion corrections: 0.24 eV per atom.

***

(2)
Computed, not measured: a crystal of MnTe3As relaxed with PBEsol at the meta-GGA SCAN level of DFT.

Unit cell a=5.3173 b=5.3173 c=5.3173 alpha=90.00 beta=90.00 gamma=90.00
Sites, in units of the cell vectors:
Mn: 0.0000 0.0000 0.0000
Te: 0.0000 0.5000 0.5000
Te: 0.5000 0.0000 0.5000
Te: 0.5000 0.5000 0.0000
As: 0.5000 0.5000 0.5000

The calculation puts the total moment at 4.93 Bohr magnetons per cell. The space group is Pm-3m (221). As for the formation energy without anion corrections: 0.51 eV per atom.

***

Question: Among the records above, which one has the highest total moment?
Answer: MnTe3As

***

Question: What is the formula in the second record?
Answer: MnTe3As

***

Question: What is the formation energy without anion corrections in the second record?
Answer: 0.51 eV per atom